GGA-PBE LiAl3Te, relaxed; offset from the most stable computed form = 0.0000 eV/atom; formation energy without anion corrections = 1.85 eV/f.u.; magnetic moment = 0.000 μB per atom
1.0
4.756 0.000 0.000
0.000 4.756 0.000
0.000 0.000 4.756
Li Al Te
1 3 1
Cartesian
0.000 0.000 0.000
0.000 0.000 2.378
0.000 2.378 0.000
2.378 0.000 0.000
2.378 2.378 2.378